(1)
PrSmY4 after structural relaxation, computed with GGA-PBE.

Cell lengths 5.1058, 15.3004, 5.0907 Å; angles 90.00, 90.00, 90.00 degrees
With the nearest neighbours (Å) after each atom.
Space group Cmmm (No. 65)
Inequivalent atoms, fractional coordinates:
Pr 0.0000 0.0000 0.0000 x2  4 Sm 3.60, 8 Y 3.61-3.62
Sm 0.0000 0.5000 0.5000 x2  4 Pr 3.60, 8 Y 3.61-3.62
Y 0.0000 0.1673 0.5000 x4  8 Y 3.59-3.60, 2 Pr 3.61, 2 Sm 3.62
Y 0.0000 0.3326 0.0000 x4  8 Y 3.59-3.60, 2 Sm 3.61, 2 Pr 3.62

Output
M_tot in μB per cell: 0.0
Energy in eV per cell: -70.481

=====

(2)
Dy7Er2Sc2 after structural relaxation, computed with GGA-PBE.

Cell lengths 6.6087, 6.6503, 8.8208 Å; angles 86.18, 73.76, 64.77 degrees
With the nearest neighbours (Å) after each atom.
Space group P-1 (No. 2)
Inequivalent atoms, fractional coordinates:
Dy 0.0000 0.0000 0.0000 x1  6 Dy 3.41-3.79
Dy 0.1468 0.5138 0.7994 x2  5 Dy 3.20-3.56, 2 Sc 3.38-3.46, 2 Er 3.51-3.54
Dy 0.3739 0.4325 0.1421 x2  3 Dy 2.92-3.20, 1 Sc 3.17
Dy 0.3905 0.9469 0.2048 x2  4 Dy 3.20-3.55, 2 Sc 3.32-3.58, 2 Er 3.40-3.55
Er 0.0067 0.2427 0.5446 x2  5 Dy 3.30-3.55, 3 Sc 3.34-3.42, 2 Er 3.41-3.43
Sc 0.4575 0.7588 0.5539 x2  4 Dy 3.17-3.46, 3 Er 3.34-3.42, 2 Sc 3.40-3.51

Output
M_tot in μB per cell: 0.0
Energy in eV per cell: -52.166